# 1
{"formula": "HoEr4Th3", "functional": "GGA-PBE", "state": "relaxed", "lattice_angstrom": [[11.494, 0.000, 0.000], [0.000, 7.118, 0.000], [0.000, 0.000, 6.203]], "species": ["Ho", "Ho", "Er", "Er", "Er", "Er", "Er", "Er", "Er", "Er", "Th", "Th", "Th", "Th", "Th", "Th"], "fractional_positions": [[0.000, 0.125, 0.000], [0.500, 0.875, 0.500], [0.000, 0.374, 0.490], [0.000, 0.632, 0.992], [0.249, 0.373, 0.832], [0.251, 0.627, 0.332], [0.500, 0.368, 0.492], [0.500, 0.626, 0.990], [0.749, 0.627, 0.332], [0.751, 0.373, 0.832], [0.000, 0.876, 0.498], [0.250, 0.116, 0.324], [0.250, 0.884, 0.824], [0.500, 0.124, 0.998], [0.750, 0.116, 0.324], [0.750, 0.884, 0.824]], "crystal_system": "orthorhombic", "final_energy_ha_per_atom": -0.2055, "formation_energy_kj_per_mol_fu": 33}


# 2
{"formula": "Y3HfIr", "functional": "GGA-PBE", "state": "relaxed", "lattice_angstrom": [[5.287, 0.000, 0.000], [0.000, 5.287, 0.000], [0.000, 0.000, 5.287]], "species": ["Y", "Y", "Y", "Hf", "Ir"], "fractional_positions": [[0.000, 0.000, 0.500], [0.000, 0.500, 0.000], [0.500, 0.000, 0.000], [0.000, 0.000, 0.000], [0.500, 0.500, 0.500]], "crystal_system": "cubic", "final_energy_ha_per_atom": -0.2361, "formation_energy_kj_per_mol_fu": 587}


# 3
{"formula": "Pm3Ho4Ge4", "functional": "GGA-PBE", "state": "relaxed", "lattice_angstrom": [[-2.035, 4.433, 8.103], [2.035, -4.433, 8.103], [2.035, 4.433, -8.103]], "species": ["Pm", "Pm", "Pm", "Ho", "Ho", "Ho", "Ho", "Ge", "Ge", "Ge", "Ge"], "fractional_positions": [[0.000, 0.000, 0.000], [0.396, 0.896, 0.500], [0.604, 0.104, 0.500], [0.020, 0.329, 0.691], [0.362, 0.671, 0.691], [0.638, 0.329, 0.309], [0.980, 0.671, 0.309], [0.253, 0.253, 0.000], [0.282, 0.500, 0.782], [0.718, 0.500, 0.218], [0.747, 0.747, 0.000]], "crystal_system": "orthorhombic", "final_energy_ha_per_atom": -0.1936, "formation_energy_kj_per_mol_fu": -668}


# 4
{"formula": "TeP2W", "functional": "GGA-PBE", "state": "relaxed", "lattice_angstrom": [[1.607, 0.928, 8.491], [-1.607, 0.928, 8.491], [0.000, -1.855, 8.491]], "species": ["Te", "P", "P", "W"], "fractional_positions": [[0.000, 0.000, 0.000], [0.230, 0.230, 0.230], [0.770, 0.770, 0.770], [0.500, 0.500, 0.500]], "crystal_system": "trigonal", "final_energy_ha_per_atom": -0.2446, "raw_formation_energy_ev_per_atom": 0.07}